[1]
# UNi2As2

A relaxed UNi2As2 crystal (PBE, Alexandria via LeMat-Bulk).

Cell lengths 5.705, 5.675, 6.647 Å; angles 77.54, 64.59, 59.82 degrees
Last column: magnetic moment on the atom in μB.
Atoms (fractional coordinates):
U 0.875 0.750 0.250  2.29
U 0.125 0.250 0.750  2.29
Ni 0.477 0.750 0.044  -0.04
Ni 0.728 0.250 0.544  -0.04
Ni 0.523 0.250 0.956  -0.04
Ni 0.272 0.750 0.456  -0.04
As 0.578 0.343 0.250  -0.02
As 0.829 0.843 0.750  -0.02
As 0.171 0.157 0.250  -0.02
As 0.422 0.657 0.750  -0.02

## Properties
- Raw total energy: -34.2 eV per formula unit
- Spin magnetization: 4.8 Bohr magnetons per cell
- SG: Fddd (70)
- Fermi-level density of states: 15.15 states/eV/cell

[2]
# CeEr2FeN4

A relaxed CeEr2FeN4 crystal (PBE, Alexandria via LeMat-Bulk).

Cell lengths 3.350, 5.876, 11.377 Å; angles 90.00, 90.00, 106.56 degrees
Last column: magnetic moment on the atom in μB.
Atoms (fractional coordinates):
Ce 0.105 0.210 0.750  -0.22
Ce 0.895 0.790 0.250  -0.22
Er 0.369 0.737 0.548  -0.01
Er 0.631 0.263 0.048  -0.01
Er 0.631 0.263 0.452  -0.01
Er 0.369 0.737 0.952  -0.01
Fe 0.843 0.687 0.750  -0.59
Fe 0.157 0.313 0.250  -0.59
N 0.271 0.541 0.131  -0.01
N 0.729 0.459 0.631  -0.01
N 0.729 0.459 0.869  -0.01
N 0.271 0.541 0.369  -0.01
N 0.000 0.000 0.500  -0.01
N 0.000 0.000 0.000  -0.01
N 0.431 0.863 0.750  0.00
N 0.569 0.137 0.250  0.00

## Properties
- Raw total energy: -66.5 eV per formula unit
- Spin magnetization: 1.9 Bohr magnetons per cell
- SG: Cmcm (63)
- Fermi-level density of states: 11.31 states/eV/cell

[3]
# AlV5Re4

A relaxed AlV5Re4 crystal (PBE, Alexandria via LeMat-Bulk).

Cell lengths 3.060, 3.060, 15.074 Å; angles 90.00, 90.00, 90.00 degrees
Last column: magnetic moment on the atom in μB.
Atoms (fractional coordinates):
Al 0.000 0.000 0.000  -0.01
V 0.500 0.500 0.104  0.61
V 0.500 0.500 0.300  0.07
V 0.500 0.500 0.500  0.03
V 0.500 0.500 0.700  0.07
V 0.500 0.500 0.896  0.61
Re 0.000 0.000 0.198  -0.11
Re 0.000 0.000 0.399  -0.03
Re 0.000 0.000 0.601  -0.03
Re 0.000 0.000 0.802  -0.11

## Properties
- Raw total energy: -102.3 eV per formula unit
- Spin magnetization: 1.3 Bohr magnetons per cell
- SG: P4/mmm (123)
- Fermi-level density of states: 5.83 states/eV/cell

Question: Number 2 is which compound?
Answer: CeEr2FeN4

Question: spin magnetization of number 1 (UNi2As2)?
Answer: 4.8 Bohr magnetons per cell

Please write out number 1 again, unchanged.
# UNi2As2

A relaxed UNi2As2 crystal (PBE, Alexandria via LeMat-Bulk).

Cell lengths 5.705, 5.675, 6.647 Å; angles 77.54, 64.59, 59.82 degrees
Last column: magnetic moment on the atom in μB.
Atoms (fractional coordinates):
U 0.875 0.750 0.250  2.29
U 0.125 0.250 0.750  2.29
Ni 0.477 0.750 0.044  -0.04
Ni 0.728 0.250 0.544  -0.04
Ni 0.523 0.250 0.956  -0.04
Ni 0.272 0.750 0.456  -0.04
As 0.578 0.343 0.250  -0.02
As 0.829 0.843 0.750  -0.02
As 0.171 0.157 0.250  -0.02
As 0.422 0.657 0.750  -0.02

## Properties
- Raw total energy: -34.2 eV per formula unit
- Spin magnetization: 4.8 Bohr magnetons per cell
- SG: Fddd (70)
- Fermi-level density of states: 15.15 states/eV/cell